*one*
Computed, not measured: an optimized crystal structure of Ge2CCl at the PBE level of DFT.

Computed properties:
Space group   No. 225
Magnetic moment   0.00 Bohr magnetons per cell

Cell lengths 4.499, 4.499, 4.499 Å; angles 60.00, 60.00, 60.00 degrees
Sites, in units of the cell vectors:
Ge 0.250 0.250 0.250
Ge 0.750 0.750 0.750
C 0.000 0.000 0.000
Cl 0.500 0.500 0.500

***

*two*
Computed, not measured: an optimized crystal structure of Ge2CCl at the PBE level of DFT.

Computed properties:
Space group   No. 122
Magnetic moment   0.00 Bohr magnetons per cell

Cell lengths 6.375, 6.375, 5.804 Å; angles 56.69, 56.69, 90.00 degrees
Sites, in units of the cell vectors:
Ge 0.527 0.125 0.250
Ge 0.223 0.625 0.250
Ge 0.375 0.473 0.750
Ge 0.875 0.777 0.750
C 0.500 0.500 0.000
C 0.250 0.750 0.500
Cl 0.000 0.000 0.000
Cl 0.750 0.250 0.500

***

Stability check: which of them is least stable? *one*.

***

*one*
Computed, not measured: an optimized crystal structure of GeCCl3 at the PBE level of DFT.

Computed properties:
Space group   No. 221
Magnetic moment   1.60 Bohr magnetons per cell

Cell lengths 4.985, 4.985, 4.985 Å; angles 90.00, 90.00, 90.00 degrees
Sites, in units of the cell vectors:
Ge 0.000 0.000 0.000
C 0.500 0.500 0.500
Cl 0.000 0.500 0.000
Cl 0.000 0.000 0.500
Cl 0.500 0.000 0.000

***

*two*
Computed, not measured: an optimized crystal structure of GeCCl3 at the PBE level of DFT.

Computed properties:
Space group   No. 221
Magnetic moment   0.00 Bohr magnetons per cell

Cell lengths 4.496, 4.496, 4.496 Å; angles 90.00, 90.00, 90.00 degrees
Sites, in units of the cell vectors:
Ge 0.500 0.500 0.500
C 0.000 0.000 0.000
Cl 0.000 0.500 0.000
Cl 0.000 0.000 0.500
Cl 0.500 0.000 0.000

***

Stability check: which of them is least stable? *one*.

***

*one*
Computed, not measured: an optimized crystal structure of Ge3CCl at the PBE level of DFT.

Computed properties:
Space group   No. 221
Magnetic moment   0.00 Bohr magnetons per cell

Cell lengths 4.584, 4.584, 4.584 Å; angles 90.00, 90.00, 90.00 degrees
Sites, in units of the cell vectors:
Ge 0.000 0.500 0.000
Ge 0.000 0.000 0.500
Ge 0.500 0.000 0.000
C 0.000 0.000 0.000
Cl 0.500 0.500 0.500

***

*two*
Computed, not measured: an optimized crystal structure of Ge3CCl at the PBE level of DFT.

Computed properties:
Space group   No. 221
Magnetic moment   0.00 Bohr magnetons per cell

Cell lengths 4.922, 4.922, 4.922 Å; angles 90.00, 90.00, 90.00 degrees
Sites, in units of the cell vectors:
Ge 0.000 0.500 0.000
Ge 0.000 0.000 0.500
Ge 0.500 0.000 0.000
C 0.500 0.500 0.500
Cl 0.000 0.000 0.000

***

Stability check: which of them is least stable? *two*.

***

*one*
Computed, not measured: an optimized crystal structure of GeP2CCl at the PBE level of DFT.

Computed properties:
Space group   No. 123
Magnetic moment   0.07 Bohr magnetons per cell

Cell lengths 4.813, 4.813, 4.783 Å; angles 90.00, 90.00, 90.00 degrees
Sites, in units of the cell vectors:
P 0.000 0.500 0.000
P 0.500 0.000 0.000
Ge 0.000 0.000 0.000
C 0.500 0.500 0.500
Cl 0.000 0.000 0.500

***

*two*
Computed, not measured: an optimized crystal structure of GeP2CCl at the PBE level of DFT.

Computed properties:
Space group   No. 123
Magnetic moment   0.00 Bohr magnetons per cell

Cell lengths 3.826, 3.826, 6.253 Å; angles 90.00, 90.00, 90.00 degrees
Sites, in units of the cell vectors:
P 0.000 0.500 0.000
P 0.500 0.000 0.000
Ge 0.500 0.500 0.500
C 0.000 0.000 0.000
Cl 0.000 0.000 0.500

***

Stability check: which of them is least stable? *one*.

***

*one*
Computed, not measured: an optimized crystal structure of GeCS2Cl at the PBE level of DFT.

Computed properties:
Space group   No. 123
Magnetic moment   0.00 Bohr magnetons per cell

Cell lengths 4.729, 4.729, 4.710 Å; angles 90.00, 90.00, 90.00 degrees
Sites, in units of the cell vectors:
C 0.500 0.500 0.500
Ge 0.000 0.000 0.000
S 0.000 0.500 0.000
S 0.500 0.000 0.000
Cl 0.000 0.000 0.500

***

*two*
Computed, not measured: an optimized crystal structure of GeCS2Cl at the PBE level of DFT.

Computed properties:
Space group   No. 123
Magnetic moment   0.00 Bohr magnetons per cell

Cell lengths 4.134, 4.134, 4.750 Å; angles 90.00, 90.00, 90.00 degrees
Sites, in units of the cell vectors:
C 0.000 0.000 0.000
Ge 0.500 0.500 0.500
S 0.000 0.500 0.000
S 0.500 0.000 0.000
Cl 0.000 0.000 0.500

***

Stability check: which of them is least stable? *one*.

***

*one*
Computed, not measured: an optimized crystal structure of InPH6CCl3 at the PBE level of DFT.

Computed properties:
Space group   No. 1
Magnetic moment   0.00 Bohr magnetons per cell

Cell lengths 8.189, 7.704, 17.346 Å; angles 90.48, 120.93, 98.50 degrees
Sites, in units of the cell vectors:
Cl 0.648 0.187 0.186
Cl 0.356 0.821 0.831
Cl 0.345 0.757 0.324
Cl 0.650 0.251 0.689
Cl 0.354 0.756 0.116
Cl 0.661 0.257 0.902
Cl 0.651 0.193 0.398
Cl 0.351 0.817 0.620
Cl 0.193 0.113 0.183
Cl 0.811 0.896 0.836
Cl 0.809 0.837 0.336
Cl 0.201 0.183 0.689
In 0.507 0.474 0.252
In 0.503 0.533 0.751
In 0.502 0.975 0.257
In 0.505 0.036 0.761
C 0.815 0.721 0.121
C 0.842 0.731 0.635
C 0.180 0.243 0.467
C 0.191 0.274 0.977
P 0.835 0.798 0.028
P 0.838 0.787 0.534
P 0.167 0.181 0.364
P 0.172 0.231 0.871
H 0.822 0.580 0.122
H 0.936 0.793 0.184
H 0.677 0.743 0.112
H 0.021 0.795 0.043
H 0.699 0.686 0.949
H 0.790 0.968 0.009
H 0.993 0.752 0.691
H 0.761 0.817 0.648
H 0.774 0.593 0.626
H 0.942 0.958 0.547
H 0.927 0.671 0.511
H 0.646 0.777 0.460
H 0.317 0.220 0.525
H 0.171 0.384 0.469
H 0.057 0.166 0.467
H 0.302 0.303 0.355
H 0.218 0.014 0.363
H 0.980 0.183 0.288
H 0.327 0.240 0.032
H 0.190 0.414 0.988
H 0.068 0.194 0.977
H 0.308 0.356 0.866
H 0.216 0.064 0.861
H 0.986 0.244 0.798

***

*two*
Computed, not measured: an optimized crystal structure of InPH6CCl3 at the PBE level of DFT.

Computed properties:
Space group   No. 1
Magnetic moment   0.00 Bohr magnetons per cell

Cell lengths 8.327, 5.972, 8.130 Å; angles 89.59, 89.70, 89.76 degrees
Sites, in units of the cell vectors:
In 0.478 0.938 0.003
In 0.999 0.998 0.473
Cl 0.457 0.528 0.002
Cl 0.057 0.533 0.517
Cl 0.718 0.997 0.817
Cl 0.239 0.018 0.195
Cl 0.656 0.999 0.246
Cl 0.293 0.020 0.764
C 0.923 0.495 0.109
C 0.639 0.493 0.513
P 0.988 0.504 0.900
P 0.424 0.506 0.498
H 0.027 0.493 0.191
H 0.849 0.645 0.133
H 0.851 0.343 0.128
H 0.077 0.700 0.866
H 0.087 0.319 0.862
H 0.855 0.501 0.796
H 0.692 0.490 0.390
H 0.679 0.642 0.580
H 0.671 0.340 0.581
H 0.377 0.703 0.415
H 0.366 0.322 0.410
H 0.360 0.506 0.658

***

Stability check: which of them is least stable? *two*.

***

*one*
Computed, not measured: an optimized crystal structure of SnH6CN3Cl3 at the PBE level of DFT.

Computed properties:
Space group   No. 14
Magnetic moment   0.00 Bohr magnetons per cell

Cell lengths 8.648, 8.170, 17.118 Å; angles 90.00, 120.23, 90.00 degrees
Sites, in units of the cell vectors:
Cl 0.655 0.147 0.187
Cl 0.345 0.853 0.813
Cl 0.345 0.647 0.313
Cl 0.655 0.353 0.687
Cl 0.362 0.790 0.112
Cl 0.638 0.210 0.888
Cl 0.638 0.290 0.388
Cl 0.362 0.710 0.612
Cl 0.221 0.149 0.187
Cl 0.779 0.851 0.813
Cl 0.779 0.649 0.313
Cl 0.221 0.351 0.687
Sn 0.489 0.468 0.239
Sn 0.511 0.532 0.761
Sn 0.511 0.968 0.261
Sn 0.489 0.032 0.739
C 0.173 0.271 0.424
C 0.827 0.729 0.576
C 0.827 0.771 0.076
C 0.173 0.229 0.924
N 0.352 0.286 0.468
N 0.648 0.714 0.532
N 0.648 0.786 0.032
N 0.352 0.214 0.968
N 0.083 0.285 0.468
N 0.917 0.715 0.532
N 0.917 0.785 0.032
N 0.083 0.215 0.968
N 0.085 0.239 0.335
N 0.915 0.761 0.665
N 0.915 0.739 0.165
N 0.085 0.261 0.835
H 0.422 0.284 0.435
H 0.578 0.716 0.565
H 0.578 0.784 0.065
H 0.422 0.216 0.935
H 0.422 0.317 0.535
H 0.578 0.683 0.465
H 0.578 0.817 0.965
H 0.422 0.183 0.035
H 0.947 0.283 0.435
H 0.053 0.717 0.565
H 0.053 0.783 0.065
H 0.947 0.217 0.935
H 0.147 0.316 0.535
H 0.853 0.684 0.465
H 0.853 0.816 0.965
H 0.147 0.184 0.035
H 0.950 0.220 0.300
H 0.050 0.780 0.700
H 0.050 0.720 0.200
H 0.950 0.280 0.800
H 0.151 0.221 0.300
H 0.849 0.779 0.700
H 0.849 0.721 0.200
H 0.151 0.279 0.800

***

*two*
Computed, not measured: an optimized crystal structure of SnH6CN3Cl3 at the PBE level of DFT.

Computed properties:
Space group   No. 1
Magnetic moment   0.00 Bohr magnetons per cell

Cell lengths 8.866, 6.943, 7.836 Å; angles 89.24, 90.15, 91.01 degrees
Sites, in units of the cell vectors:
Sn 0.531 0.850 0.040
Sn 0.035 0.891 0.540
Cl 0.526 0.484 0.033
Cl 0.038 0.256 0.536
Cl 0.797 0.863 0.733
Cl 0.350 0.854 0.303
Cl 0.770 0.876 0.233
Cl 0.216 0.882 0.803
C 0.021 0.364 0.041
C 0.546 0.341 0.539
N 0.896 0.460 0.079
N 0.019 0.172 0.045
N 0.148 0.462 0.002
N 0.418 0.434 0.509
N 0.545 0.149 0.552
N 0.676 0.440 0.558
H 0.792 0.397 0.076
H 0.097 0.096 0.977
H 0.146 0.602 0.963
H 0.899 0.604 0.104
H 0.250 0.397 0.002
H 0.929 0.096 0.094
H 0.317 0.361 0.511
H 0.638 0.077 0.594
H 0.679 0.582 0.588
H 0.418 0.570 0.457
H 0.776 0.370 0.561
H 0.463 0.069 0.492

***

Stability check: which of them is least stable? *two*.

***

*one*
Computed, not measured: an optimized crystal structure of SnPH6CCl3 at the PBE level of DFT.

Computed properties:
Space group   No. 1
Magnetic moment   0.00 Bohr magnetons per cell

Cell lengths 6.006, 6.064, 5.998 Å; angles 98.92, 90.25, 90.01 degrees
Sites, in units of the cell vectors:
Sn 0.513 0.501 0.506
Cl 0.507 0.077 0.415
Cl 0.944 0.530 0.498
Cl 0.510 0.496 0.941
C 0.018 0.088 0.922
P 0.004 0.892 0.116
H 0.171 0.188 0.952
H 0.871 0.197 0.943
H 0.020 0.993 0.751
H 0.191 0.749 0.090
H 0.811 0.758 0.075
H 0.999 0.002 0.339

***

*two*
Computed, not measured: an optimized crystal structure of SnPH6CCl3 at the PBE level of DFT.

Computed properties:
Space group   No. 1
Magnetic moment   0.00 Bohr magnetons per cell

Cell lengths 7.882, 8.014, 16.660 Å; angles 86.88, 116.01, 93.38 degrees
Sites, in units of the cell vectors:
Cl 0.697 0.259 0.180
Cl 0.333 0.748 0.837
Cl 0.363 0.721 0.333
Cl 0.646 0.299 0.675
Cl 0.368 0.598 0.107
Cl 0.622 0.317 0.896
Cl 0.685 0.089 0.400
Cl 0.345 0.827 0.610
Cl 0.220 0.104 0.190
Cl 0.799 0.942 0.835
Cl 0.829 0.616 0.331
Cl 0.180 0.410 0.676
Sn 0.533 0.420 0.253
Sn 0.475 0.605 0.744
Sn 0.519 0.919 0.254
Sn 0.491 0.109 0.756
C 0.922 0.709 0.131
C 0.858 0.874 0.625
C 0.182 0.274 0.468
C 0.251 0.163 0.967
P 0.715 0.721 0.026
P 0.837 0.743 0.537
P 0.187 0.202 0.369
P 0.097 0.310 0.887
H 0.028 0.638 0.122
H 0.981 0.836 0.151
H 0.886 0.647 0.182
H 0.756 0.807 0.960
H 0.640 0.561 0.995
H 0.573 0.806 0.035
H 0.999 0.862 0.681
H 0.836 0.004 0.599
H 0.749 0.835 0.647
H 0.962 0.796 0.501
H 0.889 0.580 0.572
H 0.651 0.734 0.467
H 0.323 0.267 0.524
H 0.138 0.404 0.455
H 0.077 0.197 0.482
H 0.320 0.299 0.349
H 0.242 0.035 0.379
H 0.008 0.215 0.294
H 0.389 0.176 0.965
H 0.267 0.191 0.033
H 0.188 0.037 0.948
H 0.183 0.472 0.899
H 0.052 0.271 0.798
H 0.924 0.319 0.894

***

Stability check: which of them is least stable? *two*.